Record 1
This record from Alexandria via LeMat-Bulk describes a relaxed TmPuSc2 crystal. The functional is PBE.

```
TmPuSc2
1.0
3.3551 0.0000 0.0000
0.0000 3.3551 0.0000
0.0000 0.0000 9.2874
Tm Pu Sc
1 1 2
Direct
0.5000 0.5000 0.5000
0.5000 0.5000 0.0000
0.0000 0.0000 0.7586
0.0000 0.0000 0.2414
```

Results
Energy relative to the lowest polymorph listed for this composition ... 20 meV/atom
Symmetry ... No. 123
D(E_F) ... 10.1 states/eV/f.u.
ΔE_f ... 0.10 eV per atom
Magnetic moment ... 1.50 μB per atom

---

Record 2
This record from Alexandria via LeMat-Bulk describes a relaxed InAs2SeBr crystal. The functional is PBE.

```
InAs2SeBr
1.0
5.3667 0.0000 0.0000
0.0000 5.3667 0.0000
0.0000 0.0000 5.2012
Se Br As In
1 1 2 1
Direct
0.5000 0.5000 0.5000
0.0000 0.0000 0.5000
0.5000 0.0000 0.0000
0.0000 0.5000 0.0000
0.0000 0.0000 0.0000
```

Results
Energy relative to the lowest polymorph listed for this composition ... 266 meV/atom
Symmetry ... No. 123
D(E_F) ... 3.8 states/eV/f.u.
Energy relative to the elements, uncorrected ... 17.235 kcal/mol of atoms
Magnetic moment ... 0.14 μB per atom

---

Record 3
This record from Alexandria via LeMat-Bulk describes a relaxed Pm6Cd3Ir crystal. The functional is PBE.

```
Pm6Cd3Ir
1.0
-1.5788 -3.4176 0.3195
8.3641 -4.4494 -6.2649
4.1485 -0.6048 14.0326
Cd Ir Pm
6 2 12
Direct
0.7500 0.6350 0.5157
0.2500 0.3650 0.4843
0.7500 0.1107 0.0467
0.7500 0.3523 0.8459
0.2500 0.8893 0.9533
0.2500 0.6477 0.1541
0.2500 0.9477 0.2937
0.7500 0.0523 0.7063
0.2500 0.2231 0.6571
0.7500 0.7769 0.3429
0.2500 0.5004 0.3222
0.7500 0.4086 0.0861
0.2500 0.1726 0.2331
0.7500 0.8274 0.7669
0.7500 0.4996 0.6778
0.7500 0.1033 0.4288
0.2500 0.8967 0.5712
0.2500 0.5914 0.9139
0.2500 0.1221 0.8662
0.7500 0.8779 0.1338
```

Results
Symmetry ... No. 11
D(E_F) ... 12.6 states/eV/f.u.
ΔE_f ... -0.25 eV per atom
Magnetic moment ... 0.00 μB per atom

---

Record 4
This record from Alexandria via LeMat-Bulk describes a relaxed CeSc5As6 crystal. The functional is PBE.

```
CeSc5As6
1.0
6.7010 -0.1053 -1.2655
-3.6213 5.6391 -1.2655
0.1301 0.2338 6.8211
Sc As Ce
5 6 1
Direct
0.8362 0.1638 0.5000
0.5000 0.5000 0.5000
0.6673 0.3327 0.0000
0.3327 0.6673 0.0000
0.1638 0.8362 0.5000
0.0857 0.4282 0.2571
0.5718 0.9143 0.7429
0.9143 0.5718 0.7429
0.2581 0.2581 0.7462
0.4282 0.0857 0.2571
0.7419 0.7419 0.2538
0.0000 0.0000 0.0000
```

Results
Symmetry ... No. 12
D(E_F) ... 5.2 states/eV/f.u.
ΔE_f ... -1.37 eV per atom
Magnetic moment ... 0.02 μB per atom

---

Taking the records one at a time from the top gives calculated volume values of 104.5, 149.8, 598.8, 259.2 Å³/cell.